# 1
A geometry-optimized Zr2ScTl2 structure, computed with GGA-PBE.

The structure belongs to space group P4/mbm (No. 127); the cell edges are 7.700, 7.700 and 4.035 Å and the angles 90.00°, 90.00° and 90.00°. The distinct sites, in fractional coordinates, are Zr at (0.168, 0.332, 0.000), Sc at (0.000, 0.000, 0.500) and Tl at (0.136, 0.636, 0.500).

The relative energy among the computed polymorphs is 0 meV/atom. Its crystal system is tetragonal. The value obtained for the electronic total energy is -5.68 eV per atom. The calculation puts the volume at 23.93 Å³ per atom. The calculation puts the formation energy at -0.050 eV per atom.

# 2
A geometry-optimized ZrSc3Tl structure, computed with GGA-PBE.

The structure belongs to space group Pm-3m (No. 221); the cell edges are 5.322, 5.322 and 5.322 Å and the angles 90.00°, 90.00° and 90.00°. The distinct sites, in fractional coordinates, are Zr at (0.000, 0.000, 0.000), Sc at (0.000, 0.500, 0.500) and Tl at (0.500, 0.500, 0.500).

The relative energy among the computed polymorphs is 841 meV/atom. Its crystal system is cubic. The value obtained for the electronic total energy is -5.24 eV per atom. The calculation puts the volume at 30.14 Å³ per atom. The calculation puts the formation energy at 0.738 eV per atom.

# 3
A geometry-optimized ZrSc3Tl4 structure, computed with GGA-PBE.

The structure belongs to space group Pmma (No. 51); the cell edges are 10.383, 6.772 and 5.294 Å and the angles 90.00°, 90.00° and 90.00°. The distinct sites, in fractional coordinates, are Zr at (0.000, 0.000, 0.000), Sc at (0.000, 0.500, 0.000), Sc at (0.250, 0.000, 0.405), Sc at (0.250, 0.500, 0.411), Tl at (0.000, 0.252, 0.500) and Tl at (0.250, 0.252, 0.911).

Its crystal system is orthorhombic. The value obtained for the electronic total energy is -4.81 eV per atom. The calculation puts the volume at 23.27 Å³ per atom. The calculation puts the formation energy at -0.182 eV per atom.

# 4
A geometry-optimized Zr2ScTl structure, computed with GGA-PBE.

The structure belongs to space group I4/mmm (No. 139); the cell edges are 4.357, 4.357 and 9.576 Å and the angles 90.00°, 90.00° and 90.00°. The distinct sites, in fractional coordinates, are Zr at (0.000, 0.500, 0.250), Sc at (0.000, 0.000, 0.000) and Tl at (0.000, 0.000, 0.500).

The relative energy among the computed polymorphs is 0 meV/atom. Its crystal system is tetragonal. The value obtained for the electronic total energy is -6.59 eV per atom. The calculation puts the volume at 22.72 Å³ per atom. The calculation puts the formation energy at -0.140 eV per atom.

# 5
A geometry-optimized ZrSc2Tl3 structure, computed with GGA-PBE.

The structure belongs to space group P4/mmm (No. 123); the cell edges are 3.253, 3.253 and 13.113 Å and the angles 90.00°, 90.00° and 90.00°. The distinct sites, in fractional coordinates, are Zr at (0.000, 0.000, 0.000), Sc at (0.000, 0.000, 0.332), Tl at (0.500, 0.500, 0.168) and Tl at (0.500, 0.500, 0.500).

Its crystal system is tetragonal. The value obtained for the electronic total energy is -4.91 eV per atom. The calculation puts the volume at 23.13 Å³ per atom. The calculation puts the formation energy at -0.196 eV per atom.

# 6
A geometry-optimized Zr2ScTl structure, computed with GGA-PBE.

The structure belongs to space group C2/m (No. 12); the cell edges are 10.871, 3.223 and 5.384 Å and the angles 90.00°, 99.72° and 90.00°. The distinct sites, in fractional coordinates, are Zr at (0.241, 0.000, 0.247), Sc at (0.000, 0.000, 0.500) and Tl at (0.000, 0.500, 0.000).

The relative energy among the computed polymorphs is 94 meV/atom. Its crystal system is monoclinic. The value obtained for the electronic total energy is -6.49 eV per atom. The calculation puts the volume at 23.24 Å³ per atom. The calculation puts the formation energy at -0.046 eV per atom.

# 7
A geometry-optimized ZrSc12Tl3 structure, computed with GGA-PBE.

The structure belongs to space group P4/mmm (No. 123); the cell edges are 4.526, 4.526 and 18.286 Å and the angles 90.00°, 90.00° and 90.00°. The distinct sites, in fractional coordinates, are Zr at (0.000, 0.000, 0.000), Sc at (0.000, 0.500, 0.124), Sc at (0.000, 0.500, 0.376), Sc at (0.500, 0.500, 0.000), Sc at (0.500, 0.500, 0.253), Sc at (0.500, 0.500, 0.500), Tl at (0.000, 0.000, 0.252) and Tl at (0.000, 0.000, 0.500).

Its crystal system is tetragonal. The value obtained for the electronic total energy is -5.88 eV per atom. The calculation puts the volume at 23.42 Å³ per atom. The calculation puts the formation energy at -0.150 eV per atom.

# 8
A geometry-optimized ZrSc6Tl structure, computed with GGA-PBE.

The structure belongs to space group P4/mmm (No. 123); the cell edges are 4.532, 4.532 and 9.208 Å and the angles 90.00°, 90.00° and 90.00°. The distinct sites, in fractional coordinates, are Zr at (0.000, 0.000, 0.000), Sc at (0.000, 0.500, 0.246), Sc at (0.500, 0.500, 0.000), Sc at (0.500, 0.500, 0.500) and Tl at (0.000, 0.000, 0.500).

Its crystal system is tetragonal. The value obtained for the electronic total energy is -6.21 eV per atom. The calculation puts the volume at 23.64 Å³ per atom. The calculation puts the formation energy at -0.100 eV per atom.

# 9
A geometry-optimized ZrSc3Tl structure, computed with GGA-PBE.

The structure belongs to space group P2_1/m (No. 11); the cell edges are 8.209, 3.308 and 9.166 Å and the angles 90.00°, 103.87° and 90.00°. The distinct sites, in fractional coordinates, are Zr at (0.172, 0.250, 0.018), Sc at (0.007, 0.750, 0.714), Sc at (0.342, 0.750, 0.323), Sc at (0.419, 0.750, 0.858) and Tl at (0.265, 0.250, 0.578).

The relative energy among the computed polymorphs is 0 meV/atom. Its crystal system is monoclinic. The value obtained for the electronic total energy is -6.08 eV per atom. The calculation puts the volume at 24.17 Å³ per atom. The calculation puts the formation energy at -0.103 eV per atom.

# 10
A geometry-optimized Zr2ScTl structure, computed with GGA-PBE.

The structure belongs to space group Cm (No. 8); the cell edges are 11.345, 3.300 and 5.482 Å and the angles 90.00°, 115.18° and 90.00°. The distinct sites, in fractional coordinates, are Zr at (0.000, 0.000, 0.000), Zr at (0.246, 0.000, 0.882), Sc at (0.484, 0.000, 0.489) and Tl at (0.240, 0.500, 0.397).

The relative energy among the computed polymorphs is 78 meV/atom. Its crystal system is monoclinic. The value obtained for the electronic total energy is -6.51 eV per atom. The calculation puts the volume at 23.22 Å³ per atom. The calculation puts the formation energy at -0.061 eV per atom.

# 11
A geometry-optimized Zr2ScTl structure, computed with GGA-PBE.

The structure belongs to space group Pmmm (No. 47); the cell edges are 3.604, 4.811 and 5.262 Å and the angles 90.00°, 90.00° and 90.00°. The distinct sites, in fractional coordinates, are Zr at (0.000, 0.000, 0.000), Zr at (0.500, 0.500, 0.000), Sc at (0.000, 0.500, 0.500) and Tl at (0.500, 0.000, 0.500).

The relative energy among the computed polymorphs is 90 meV/atom. Its crystal system is orthorhombic. The value obtained for the electronic total energy is -6.50 eV per atom. The calculation puts the volume at 22.81 Å³ per atom. The calculation puts the formation energy at -0.049 eV per atom.

# 12
A geometry-optimized ZrSc4Tl2 structure, computed with GGA-PBE.

The structure belongs to space group I4/mmm (No. 139); the cell edges are 5.351, 5.351 and 12.368 Å and the angles 90.00°, 90.00° and 90.00°. The distinct sites, in fractional coordinates, are Zr at (0.000, 0.000, 0.000), Sc at (0.000, 0.500, 0.000), Sc at (0.000, 0.500, 0.250) and Tl at (0.000, 0.000, 0.367).

Its crystal system is tetragonal. The value obtained for the electronic total energy is -5.23 eV per atom. The calculation puts the volume at 25.29 Å³ per atom. The calculation puts the formation energy at 0.280 eV per atom.

# 13
A geometry-optimized ZrSc5Tl6 structure, computed with GGA-PBE.

The structure belongs to space group C2/m (No. 12); the cell edges are 8.795, 15.268 and 5.105 Å and the angles 90.00°, 125.39° and 90.00°. The distinct sites, in fractional coordinates, are Zr at (0.000, 0.000, 0.000), Sc at (0.000, 0.160, 0.500), Sc at (0.000, 0.331, 0.000), Sc at (0.000, 0.500, 0.500), Tl at (0.243, 0.500, 0.243) and Tl at (0.246, 0.332, 0.746).

Its crystal system is monoclinic. The value obtained for the electronic total energy is -4.74 eV per atom. The calculation puts the volume at 23.29 Å³ per atom. The calculation puts the formation energy at -0.204 eV per atom.

# 14
A geometry-optimized ZrScTl structure, computed with GGA-PBE.

The structure belongs to space group P6_3/mmc (No. 194); the cell edges are 5.0857, 5.0857 and 6.1239 Å and the angles 90.00°, 90.00° and 120.00°. The distinct sites, in fractional coordinates, are Zr at (0.0000, 0.0000, 0.0000), Sc at (0.3333, 0.6667, 0.2500) and Tl at (0.3333, 0.6667, 0.7500).

The relative energy among the computed polymorphs is 0 meV/atom. Its crystal system is hexagonal. The value obtained for the electronic total energy is -5.93 eV per atom. The calculation puts the volume at 22.86 Å³ per atom. The calculation puts the formation energy at -0.179 eV per atom.

# 15
A geometry-optimized Zr2ScTl structure, computed with GGA-PBE.

The structure belongs to space group R3m (No. 160, hexagonal axes); the cell edges are 3.3001, 3.3001 and 30.5122 Å and the angles 90.00°, 90.00° and 120.00°. The distinct sites, in fractional coordinates, are Zr at (0.0000, 0.0000, 0.0000), Zr at (0.0000, 0.0000, 0.2518), Sc at (0.0000, 0.0000, 0.5021) and Tl at (0.0000, 0.0000, 0.7515).

The relative energy among the computed polymorphs is 89 meV/atom. Its crystal system is trigonal. The value obtained for the electronic total energy is -6.50 eV per atom. The calculation puts the volume at 23.98 Å³ per atom. The calculation puts the formation energy at -0.050 eV per atom.

# 16
A geometry-optimized ZrScTl structure, computed with GGA-PBE.

The structure belongs to space group P4/nmm (No. 129, origin choice 2); the cell edges are 3.289, 3.289 and 13.097 Å and the angles 90.00°, 90.00° and 90.00°. The distinct sites, in fractional coordinates, are Zr at (0.250, 0.250, 0.083), Sc at (0.250, 0.250, 0.413) and Tl at (0.250, 0.250, 0.748).

The relative energy among the computed polymorphs is 58 meV/atom. Its crystal system is tetragonal. The value obtained for the electronic total energy is -5.87 eV per atom. The calculation puts the volume at 23.61 Å³ per atom. The calculation puts the formation energy at -0.122 eV per atom.

# 17
A geometry-optimized Zr2ScTl structure, computed with GGA-PBE.

The structure belongs to space group R-3m (No. 166, hexagonal axes); the cell edges are 3.2564, 3.2564 and 31.2411 Å and the angles 90.00°, 90.00° and 120.00°. The distinct sites, in fractional coordinates, are Zr at (0.0000, 0.0000, 0.2503), Sc at (0.0000, 0.0000, 0.0000) and Tl at (0.0000, 0.0000, 0.5000).

The relative energy among the computed polymorphs is 164 meV/atom. Its crystal system is trigonal. The value obtained for the electronic total energy is -6.42 eV per atom. The calculation puts the volume at 23.91 Å³ per atom. The calculation puts the formation energy at 0.024 eV per atom.

# 18
A geometry-optimized ZrScTl structure, computed with GGA-PBE.

The structure belongs to space group Imm2 (No. 44); the cell edges are 3.342, 4.107 and 10.101 Å and the angles 90.00°, 90.00° and 90.00°. The distinct sites, in fractional coordinates, are Zr at (0.000, 0.000, 0.000), Sc at (0.000, 0.000, 0.330) and Tl at (0.000, 0.000, 0.669).

The relative energy among the computed polymorphs is 95 meV/atom. Its crystal system is orthorhombic. The value obtained for the electronic total energy is -5.83 eV per atom. The calculation puts the volume at 23.11 Å³ per atom. The calculation puts the formation energy at -0.085 eV per atom.

# 19
A geometry-optimized Zr2ScTl structure, computed with GGA-PBE.

The structure belongs to space group P2/m (No. 10); the cell edges are 3.153, 5.428 and 5.477 Å and the angles 90.00°, 95.66° and 90.00°. The distinct sites, in fractional coordinates, are Zr at (0.200, 0.000, 0.253), Sc at (0.500, 0.500, 0.000) and Tl at (0.000, 0.500, 0.500).

The relative energy among the computed polymorphs is 110 meV/atom. Its crystal system is monoclinic. The value obtained for the electronic total energy is -6.48 eV per atom. The calculation puts the volume at 23.32 Å³ per atom. The calculation puts the formation energy at -0.029 eV per atom.

# 20
A geometry-optimized Zr2ScTl structure, computed with GGA-PBE.

The structure belongs to space group Cmmm (No. 65); the cell edges are 6.249, 9.210 and 3.203 Å and the angles 90.00°, 90.00° and 90.00°. The distinct sites, in fractional coordinates, are Zr at (0.250, 0.250, 0.000), Sc at (0.000, 0.000, 0.500) and Tl at (0.000, 0.500, 0.500).

The relative energy among the computed polymorphs is 99 meV/atom. Its crystal system is orthorhombic. The value obtained for the electronic total energy is -6.49 eV per atom. The calculation puts the volume at 23.04 Å³ per atom. The calculation puts the formation energy at -0.040 eV per atom.

# 21
A geometry-optimized Zr12Sc3Tl5 structure, computed with GGA-PBE.

The structure belongs to space group Ia-3d (No. 230); the cell edges are 17.051, 17.051 and 17.051 Å and the angles 90.00°, 90.00° and 90.00°. The distinct sites, in fractional coordinates, are Zr at (0.004, 0.079, 0.649), Sc at (0.000, 0.250, 0.125), Tl at (0.000, 0.000, 0.000) and Tl at (0.000, 0.250, 0.375).

Its crystal system is cubic. The value obtained for the electronic total energy is -5.85 eV per atom. The calculation puts the volume at 30.98 Å³ per atom. The calculation puts the formation energy at 0.818 eV per atom.